Density functional theory data (PBE-GGA) for a relaxed structure of Tb2ErNiIr2Pb3.

Properties
As for the calculated volume: 21.83 Å³ per atom. Its total magnetic moment is 0.00 μB per atom. Its symmetry is No. 38. For the final energy, the calculation gives -0.2171 hartree per atom.

Cell and atoms, written as POSCAR:
```
Tb2ErNiIr2Pb3
1.0
3.775 0.000 0.000
0.000 6.703 3.882
0.000 -6.703 3.882
Tb Er Ni Ir Pb
2 1 1 2 3
Cartesian
0.000 -3.968 3.882
0.000 3.968 3.882
0.000 0.000 3.012
0.000 0.000 6.174
1.888 -2.218 2.303
1.888 2.218 2.303
1.888 0.000 0.421
1.888 -1.723 5.176
1.888 1.723 5.176
```